# 1
First-principles (PBE) data for an optimized crystal structure of Ca2Mg, as listed in Alexandria.

Properties
The formation energy comes out at 1.090 kcal/mol of atoms. The space group is P6_3/mmc. For the magnetization, the calculation gives 0.00 μB/f.u.

Cell: 3.791 3.791 17.414 Å, 90.00 90.00 120.00°
Fractional coordinates of all 6 atoms:
Ca1 0.333 0.667 0.093
Ca2 0.333 0.667 0.407
Ca3 0.667 0.333 0.593
Ca4 0.667 0.333 0.907
Mg1 0.333 0.667 0.750
Mg2 0.667 0.333 0.250

=====

# 2
First-principles (PBE) data for an optimized crystal structure of TlTc2P, as listed in Alexandria.

Properties
The formation energy comes out at 2.978 kcal/mol of atoms. The space group is P4/mmm. For the magnetization, the calculation gives 0.00 μB/f.u.

Cell: 3.003 3.003 7.089 Å, 90.00 90.00 90.00°
Fractional coordinates of all 4 atoms:
Tl1 0.000 0.000 0.000
Tc1 0.500 0.500 0.314
Tc2 0.500 0.500 0.686
P1 0.000 0.000 0.500

=====

# 3
First-principles (PBE) data for an optimized crystal structure of TaCrCo4, as listed in Alexandria.

Properties
The formation energy comes out at 1.347 kcal/mol of atoms. The space group is Imma. For the magnetization, the calculation gives 2.65 μB/f.u.

Cell: 6.238 6.238 6.238 Å, 139.98 102.31 91.20°
Fractional coordinates of all 12 atoms:
Ta1 0.371 0.121 0.250
Ta2 0.629 0.879 0.750
Cr1 0.131 0.381 0.750
Cr2 0.869 0.619 0.250
Co1 0.057 0.147 0.909
Co2 0.194 0.614 0.580
Co3 0.262 0.853 0.409
Co4 0.466 0.386 0.080
Co5 0.534 0.614 0.920
Co6 0.738 0.147 0.591
Co7 0.806 0.386 0.420
Co8 0.943 0.853 0.091

=====

# 4
First-principles (PBE) data for an optimized crystal structure of YMoPt2, as listed in Alexandria.

Properties
The formation energy comes out at -7.325 kcal/mol of atoms. The space group is Fm-3m. For the magnetization, the calculation gives 2.75 μB/f.u.

Cell: 6.710 6.710 6.710 Å, 90.00 90.00 90.00°
Fractional coordinates of all 16 atoms:
Y1 0.000 0.000 0.000
Y2 0.000 0.500 0.500
Y3 0.500 0.000 0.500
Y4 0.500 0.500 0.000
Mo1 0.000 0.000 0.500
Mo2 0.000 0.500 0.000
Mo3 0.500 0.000 0.000
Mo4 0.500 0.500 0.500
Pt1 0.250 0.250 0.250
Pt2 0.250 0.250 0.750
Pt3 0.250 0.750 0.250
Pt4 0.250 0.750 0.750
Pt5 0.750 0.250 0.250
Pt6 0.750 0.250 0.750
Pt7 0.750 0.750 0.250
Pt8 0.750 0.750 0.750

=====

# 5
First-principles (PBE) data for an optimized crystal structure of LiHgBiIr, as listed in Alexandria.

Properties
The formation energy comes out at -0.176 kcal/mol of atoms. The space group is F-43m. For the magnetization, the calculation gives 0.00 μB/f.u.

Cell: 6.740 6.740 6.740 Å, 90.00 90.00 90.00°
Fractional coordinates of all 16 atoms:
Li1 0.000 0.000 0.000
Li2 0.000 0.500 0.500
Li3 0.500 0.000 0.500
Li4 0.500 0.500 0.000
Hg1 0.250 0.250 0.750
Hg2 0.250 0.750 0.250
Hg3 0.750 0.250 0.250
Hg4 0.750 0.750 0.750
Bi1 0.250 0.250 0.250
Bi2 0.250 0.750 0.750
Bi3 0.750 0.250 0.750
Bi4 0.750 0.750 0.250
Ir1 0.000 0.000 0.500
Ir2 0.000 0.500 0.000
Ir3 0.500 0.000 0.000
Ir4 0.500 0.500 0.500

=====

# 6
First-principles (PBE) data for an optimized crystal structure of Na2YSbH, as listed in Alexandria.

Properties
As for the total energy: -3.762 eV/atom. The space group is P4/mmm. For the magnetization, the calculation gives 0.00 μB/f.u.

Cell: 4.558 4.558 5.019 Å, 90.00 90.00 90.00°
Fractional coordinates of all 5 atoms:
Na1 0.000 0.500 0.000
Na2 0.500 0.000 0.000
Y1 0.000 0.000 0.500
Sb1 0.500 0.500 0.500
H1 0.000 0.000 0.000

=====

# 7
First-principles (PBE) data for an optimized crystal structure of SmEr5Tm2Th, as listed in Alexandria.

Properties
The formation energy comes out at 7.558 kcal/mol of atoms. The space group is I4/mcm. For the magnetization, the calculation gives 0.00 μB/f.u.

Cell: 9.642 9.642 9.642 Å, 125.99 125.99 79.90°
Fractional coordinates of all 18 atoms:
Sm1 0.250 0.750 0.500
Sm2 0.750 0.250 0.500
Er1 0.000 0.000 0.000
Er2 0.072 0.572 0.913
Er3 0.159 0.072 0.500
Er4 0.341 0.841 0.913
Er5 0.428 0.341 0.500
Er6 0.500 0.500 0.000
Er7 0.572 0.659 0.500
Er8 0.659 0.159 0.087
Er9 0.841 0.928 0.500
Er10 0.928 0.428 0.087
Tm1 0.114 0.386 0.500
Tm2 0.386 0.886 0.272
Tm3 0.614 0.114 0.728
Tm4 0.886 0.614 0.500
Th1 0.250 0.250 0.000
Th2 0.750 0.750 0.000

=====

# 8
First-principles (PBE) data for an optimized crystal structure of MgSc2Ti2, as listed in Alexandria.

Properties
The formation energy comes out at 4.430 kcal/mol of atoms. The space group is P4/mbm. For the magnetization, the calculation gives 0.00 μB/f.u.

Cell: 7.934 7.934 3.387 Å, 90.00 90.00 90.00°
Fractional coordinates of all 10 atoms:
Mg1 0.000 0.000 0.000
Mg2 0.500 0.500 0.000
Sc1 0.174 0.326 0.500
Sc2 0.326 0.826 0.500
Sc3 0.674 0.174 0.500
Sc4 0.826 0.674 0.500
Ti1 0.119 0.619 0.000
Ti2 0.381 0.119 0.000
Ti3 0.619 0.881 0.000
Ti4 0.881 0.381 0.000

=====

# 9
First-principles (PBE) data for an optimized crystal structure of Pm2Ni3Ge4Pt, as listed in Alexandria.

Properties
The formation energy comes out at -17.534 kcal/mol of atoms. The space group is P-4m2. For the magnetization, the calculation gives 0.00 μB/f.u.

Cell: 4.184 4.184 9.838 Å, 90.00 90.00 90.00°
Fractional coordinates of all 10 atoms:
Pm1 0.000 0.500 0.245
Pm2 0.500 0.000 0.755
Ni1 0.000 0.500 0.880
Ni2 0.500 0.000 0.120
Ni3 0.500 0.500 0.500
Ge1 0.000 0.000 0.000
Ge2 0.000 0.500 0.640
Ge3 0.500 0.000 0.360
Ge4 0.500 0.500 0.000
Pt1 0.000 0.000 0.500

=====

# 10
First-principles (PBE) data for an optimized crystal structure of TaHgOs2, as listed in Alexandria.

Properties
The formation energy comes out at 8.188 kcal/mol of atoms. The space group is C2/m. For the magnetization, the calculation gives 0.00 μB/f.u.

Cell: 9.259 2.982 5.028 Å, 90.00 102.63 90.00°
Fractional coordinates of all 8 atoms:
Ta1 0.000 0.000 0.000
Ta2 0.500 0.500 0.000
Hg1 0.000 0.500 0.500
Hg2 0.500 0.000 0.500
Os1 0.232 0.500 0.218
Os2 0.268 0.000 0.782
Os3 0.732 0.000 0.218
Os4 0.768 0.500 0.782

=====

# 11
First-principles (PBE) data for an optimized crystal structure of SrNi2C, as listed in Alexandria.

Properties
The formation energy comes out at 2.396 kcal/mol of atoms. The space group is I4_1/amd. For the magnetization, the calculation gives 0.00 μB/f.u.

Cell: 4.873 4.873 11.427 Å, 90.00 90.00 90.00°
Fractional coordinates of all 16 atoms:
Sr1 0.000 0.250 0.375
Sr2 0.000 0.750 0.625
Sr3 0.500 0.250 0.125
Sr4 0.500 0.750 0.875
Ni1 0.000 0.000 0.000
Ni2 0.000 0.500 0.000
Ni3 0.250 0.250 0.750
Ni4 0.250 0.750 0.250
Ni5 0.500 0.000 0.500
Ni6 0.500 0.500 0.500
Ni7 0.750 0.250 0.750
Ni8 0.750 0.750 0.250
C1 0.000 0.250 0.875
C2 0.000 0.750 0.125
C3 0.500 0.250 0.625
C4 0.500 0.750 0.375

=====

# 12
First-principles (PBE) data for an optimized crystal structure of LiCeSn2Pt4, as listed in Alexandria.

Properties
The formation energy comes out at -17.436 kcal/mol of atoms. The space group is R-3m. For the magnetization, the calculation gives 0.37 μB/f.u.

Cell: 9.032 9.032 9.032 Å, 28.76 28.76 28.76°
Fractional coordinates of all 8 atoms:
Li1 0.000 0.000 0.000
Ce1 0.500 0.500 0.500
Sn1 0.260 0.260 0.260
Sn2 0.740 0.740 0.740
Pt1 0.102 0.102 0.102
Pt2 0.366 0.366 0.366
Pt3 0.634 0.634 0.634
Pt4 0.898 0.898 0.898